# PBE NaSrMg10, relaxed
# * N(E_F): 6.35 states/eV per cell
# * E_form: 31 meV per atom
data_NaSrMg10
_cell_length_a 5.146
_cell_length_b 6.038
_cell_length_c 10.666
_cell_angle_alpha 90.00
_cell_angle_beta 90.00
_cell_angle_gamma 90.00
_symmetry_space_group_name_H-M 'P m m m'
_symmetry_Int_Tables_number 47
_symmetry_space_group_name_Hall '-P 2 2'
loop_
_atom_site_label
_atom_site_type_symbol
_atom_site_fract_x
_atom_site_fract_y
_atom_site_fract_z
_atom_site_occupancy
Na1 Na 0.000 0.000 0.000 1
Sr1 Sr 0.000 0.500 0.500 1
Mg1 Mg 0.000 0.000 0.325 1
Mg2 Mg 0.000 0.500 0.162 1
Mg3 Mg 0.500 0.000 0.500 1
Mg4 Mg 0.500 0.255 0.254 1
Mg5 Mg 0.500 0.500 0.000 1



# PBE Ba2HgBr, relaxed
# * N(E_F): 20.17 states/eV per cell
# * E_form (uncorrected): -0.884 eV/atom
# * offset from the most stable computed form: 0.1476 eV/atom
data_Ba2HgBr
_cell_length_a 8.793
_cell_length_b 8.793
_cell_length_c 9.605
_cell_angle_alpha 90.00
_cell_angle_beta 90.00
_cell_angle_gamma 90.00
_symmetry_space_group_name_H-M 'I -4 2 d'
_symmetry_Int_Tables_number 122
_symmetry_space_group_name_Hall 'I -4 2bw'
loop_
_atom_site_label
_atom_site_type_symbol
_atom_site_fract_x
_atom_site_fract_y
_atom_site_fract_z
_atom_site_occupancy
Ba1 Ba 0.244 0.250 0.125 1
Hg1 Hg 0.000 0.000 0.500 1
Br1 Br 0.000 0.000 0.000 1



# PBE Re2Ge, relaxed
# * N(E_F): 2.60 states/eV per cell
# * E_form: 117 meV per atom
data_Re2Ge
_cell_length_a 2.956
_cell_length_b 2.956
_cell_length_c 10.089
_cell_angle_alpha 90.00
_cell_angle_beta 90.00
_cell_angle_gamma 90.00
_symmetry_space_group_name_H-M 'I 4/m m m'
_symmetry_Int_Tables_number 139
_symmetry_space_group_name_Hall '-I 4 2'
loop_
_atom_site_label
_atom_site_type_symbol
_atom_site_fract_x
_atom_site_fract_y
_atom_site_fract_z
_atom_site_occupancy
Re1 Re 0.000 0.000 0.164 1
Ge1 Ge 0.000 0.000 0.500 1



# PBE CaFeRe, relaxed
# * N(E_F): 2.84 states/eV per cell
# * E_form: 762 meV per atom
# * offset from the most stable computed form: 0.3291 eV/atom
data_CaFeRe
_cell_length_a 2.9485
_cell_length_b 2.9485
_cell_length_c 6.9802
_cell_angle_alpha 90.00
_cell_angle_beta 90.00
_cell_angle_gamma 120.00
_symmetry_space_group_name_H-M 'P 3 m 1'
_symmetry_Int_Tables_number 156
_symmetry_space_group_name_Hall 'P 3 -2"'
loop_
_atom_site_label
_atom_site_type_symbol
_atom_site_fract_x
_atom_site_fract_y
_atom_site_fract_z
_atom_site_occupancy
Ca1 Ca 0.0000 0.0000 0.0000 1
Fe1 Fe 0.6667 0.3333 0.3697 1
Re1 Re 0.3333 0.6667 0.6305 1



# PBE RbNaYW2, relaxed
# * N(E_F): 10.03 states/eV per cell
# * E_form: 2663 meV per atom
data_RbNaYW2
_cell_length_a 5.066
_cell_length_b 5.066
_cell_length_c 4.892
_cell_angle_alpha 90.00
_cell_angle_beta 90.00
_cell_angle_gamma 90.00
_symmetry_space_group_name_H-M 'P 4/m m m'
_symmetry_Int_Tables_number 123
_symmetry_space_group_name_Hall '-P 4 2'
loop_
_atom_site_label
_atom_site_type_symbol
_atom_site_fract_x
_atom_site_fract_y
_atom_site_fract_z
_atom_site_occupancy
Rb1 Rb 0.000 0.000 0.000 1
Na1 Na 0.000 0.000 0.500 1
Y1 Y 0.500 0.500 0.500 1
W1 W 0.000 0.500 0.000 1



# PBE TaNb6Pt, relaxed
# * N(E_F): 12.93 states/eV per cell
# * E_form: -218 meV per atom
# * offset from the most stable computed form: 0.0000 eV/atom
data_TaNb6Pt
_cell_length_a 4.593
_cell_length_b 9.394
_cell_length_c 6.573
_cell_angle_alpha 90.00
_cell_angle_beta 90.00
_cell_angle_gamma 90.00
_symmetry_space_group_name_H-M 'A m m 2'
_symmetry_Int_Tables_number 38
_symmetry_space_group_name_Hall 'A 2 -2'
loop_
_atom_site_label
_atom_site_type_symbol
_atom_site_fract_x
_atom_site_fract_y
_atom_site_fract_z
_atom_site_occupancy
Ta1 Ta 0.000 0.000 0.000 1
Nb1 Nb 0.000 0.000 0.510 1
Nb2 Nb 0.000 0.249 0.255 1
Nb3 Nb 0.500 0.000 0.753 1
Nb4 Nb 0.500 0.249 0.004 1
Pt1 Pt 0.500 0.000 0.252 1



# PBE Rb4P2PbSe8, relaxed
# * N(E_F): 0.00 states/eV per cell
# * E_form (uncorrected): -0.736 eV/atom
data_Rb4P2PbSe8
_cell_length_a 9.546
_cell_length_b 19.530
_cell_length_c 10.605
_cell_angle_alpha 90.00
_cell_angle_beta 90.00
_cell_angle_gamma 90.00
_symmetry_space_group_name_H-M 'I b a m'
_symmetry_Int_Tables_number 72
_symmetry_space_group_name_Hall '-I 2 2c'
loop_
_atom_site_label
_atom_site_type_symbol
_atom_site_fract_x
_atom_site_fract_y
_atom_site_fract_z
_atom_site_occupancy
Rb1 Rb 0.000 0.232 0.250 1
Rb2 Rb 0.115 0.412 0.000 1
P1 P 0.203 0.124 0.000 1
Pb1 Pb 0.000 0.000 0.250 1
Se1 Se 0.028 0.104 0.500 1
Se2 Se 0.211 0.427 0.328 1
Se3 Se 0.241 0.266 0.500 1



# PBE Tb2Pr, relaxed
# * N(E_F): 10.23 states/eV per cell
# * E_form: 13 meV per atom
# * offset from the most stable computed form: 0.0146 eV/atom
data_Tb2Pr
_cell_length_a 3.6240
_cell_length_b 3.6240
_cell_length_c 26.4120
_cell_angle_alpha 90.00
_cell_angle_beta 90.00
_cell_angle_gamma 120.00
_symmetry_space_group_name_H-M 'R 3 m'
_symmetry_Int_Tables_number 160
_symmetry_space_group_name_Hall 'R 3 -2"'
loop_
_atom_site_label
_atom_site_type_symbol
_atom_site_fract_x
_atom_site_fract_y
_atom_site_fract_z
_atom_site_occupancy
Tb1 Tb 0.0000 0.0000 0.0000 1
Tb2 Tb 0.0000 0.0000 0.2263 1
Pr1 Pr 0.0000 0.0000 0.7794 1



# PBE Na2Tl2Sb, relaxed
# * N(E_F): 4.94 states/eV per cell
# * E_form (uncorrected): -0.156 eV/atom
# * offset from the most stable computed form: 0.0211 eV/atom
data_Na2Tl2Sb
_cell_length_a 5.705
_cell_length_b 5.697
_cell_length_c 9.143
_cell_angle_alpha 90.00
_cell_angle_beta 107.71
_cell_angle_gamma 90.00
_symmetry_space_group_name_H-M 'C 1 2/m 1'
_symmetry_Int_Tables_number 12
_symmetry_space_group_name_Hall '-C 2y'
loop_
_atom_site_label
_atom_site_type_symbol
_atom_site_fract_x
_atom_site_fract_y
_atom_site_fract_z
_atom_site_occupancy
Na1 Na 0.094 0.000 0.188 1
Tl1 Tl 0.200 0.500 0.401 1
Sb1 Sb 0.000 0.500 0.000 1



# PBE BaPtSe2, relaxed
# * N(E_F): 2.82 states/eV per cell
# * E_form (uncorrected): -0.991 eV/atom
# * offset from the most stable computed form: 0.0827 eV/atom
data_BaPtSe2
_cell_length_a 4.851
_cell_length_b 4.991
_cell_length_c 4.646
_cell_angle_alpha 90.00
_cell_angle_beta 90.00
_cell_angle_gamma 90.00
_symmetry_space_group_name_H-M 'P m m 2'
_symmetry_Int_Tables_number 25
_symmetry_space_group_name_Hall 'P 2 -2'
loop_
_atom_site_label
_atom_site_type_symbol
_atom_site_fract_x
_atom_site_fract_y
_atom_site_fract_z
_atom_site_occupancy
Ba1 Ba 0.000 0.000 0.000 1
Pt1 Pt 0.500 0.500 0.643 1
Se1 Se 0.000 0.500 0.494 1
Se2 Se 0.500 0.000 0.518 1



# PBE SrRu2Au, relaxed
# * N(E_F): 9.91 states/eV per cell
# * E_form: 688 meV per atom
# * offset from the most stable computed form: 0.5963 eV/atom
data_SrRu2Au
_cell_length_a 5.927
_cell_length_b 8.897
_cell_length_c 2.777
_cell_angle_alpha 90.00
_cell_angle_beta 90.00
_cell_angle_gamma 90.00
_symmetry_space_group_name_H-M 'C m m m'
_symmetry_Int_Tables_number 65
_symmetry_space_group_name_Hall '-C 2 2'
loop_
_atom_site_label
_atom_site_type_symbol
_atom_site_fract_x
_atom_site_fract_y
_atom_site_fract_z
_atom_site_occupancy
Sr1 Sr 0.000 0.000 0.000 1
Ru1 Ru 0.250 0.250 0.500 1
Au1 Au 0.000 0.500 0.000 1



# PBE Ti2TcAu2, relaxed
# * N(E_F): 6.76 states/eV per cell
# * E_form: -418 meV per atom
# * offset from the most stable computed form: 0.0000 eV/atom
data_Ti2TcAu2
_cell_length_a 3.167
_cell_length_b 17.206
_cell_length_c 3.139
_cell_angle_alpha 90.00
_cell_angle_beta 90.00
_cell_angle_gamma 90.00
_symmetry_space_group_name_H-M 'C m m m'
_symmetry_Int_Tables_number 65
_symmetry_space_group_name_Hall '-C 2 2'
loop_
_atom_site_label
_atom_site_type_symbol
_atom_site_fract_x
_atom_site_fract_y
_atom_site_fract_z
_atom_site_occupancy
Ti1 Ti 0.000 0.085 0.000 1
Tc1 Tc 0.000 0.500 0.500 1
Au1 Au 0.000 0.318 0.500 1



Computed values of size of the total moment (unit: μB/cell) for the preceding records, in sequence: 0.00; 0.00; 0.00; 2.39; 1.42; 0.00; 0.00; 0.00; 0.00; 0.00; 0.01; 0.00.